## Pm5Nd2Sm5 (PBE-GGA)

Data for crystalline Pm5Nd2Sm5 at its relaxed geometry.

Computed properties:
The total DFT energy (no corrections) is -0.3474 Ry per atom. For the spin magnetization, the calculation gives 0.00 μB/cell. The calculation puts the formation energy from the elements at 13.4 meV/atom. As for the crystal system: monoclinic.

a b c (Å): 5.1525 8.1626 10.9410
angles (deg): 72.63 76.38 71.60
Fractional coordinates of all 12 atoms:
Pm 0.5839 0.0825 0.7497
Sm 0.8327 0.8344 0.5002
Sm 0.0000 0.0000 0.0000
Pm 0.6665 0.6669 0.0000
Sm 0.2496 0.7508 0.7500
Pm 0.5000 0.5000 0.5000
Sm 0.7504 0.2492 0.2500
Nd 0.9168 0.4169 0.7495
Nd 0.0832 0.5831 0.2505
Pm 0.3335 0.3331 0.0000
Pm 0.4161 0.9175 0.2503
Sm 0.1673 0.1656 0.4998

=====

## Ba3Cl2 (PBE-GGA)

Data for crystalline Ba3Cl2 at its relaxed geometry.

Computed properties:
The total DFT energy (no corrections) is -0.2427 Ry per atom. For the spin magnetization, the calculation gives 4.39 μB/cell. As for the crystal system: trigonal.

a b c (Å): 8.0836 8.0836 8.7898
angles (deg): 62.62 62.62 60.00
Fractional coordinates of all 10 atoms:
Cl 0.6675 0.6675 0.9975
Cl 0.1675 0.1675 0.4975
Ba 0.7500 0.4112 0.7500
Cl 0.8325 0.8325 0.5025
Ba 0.9112 0.2500 0.2500
Ba 0.0888 0.7500 0.7500
Ba 0.2500 0.5888 0.2500
Ba 0.4112 0.0888 0.7500
Cl 0.3325 0.3325 0.0025
Ba 0.5888 0.9112 0.2500

=====

## AlSCl (PBE-GGA)

Data for crystalline AlSCl at its relaxed geometry.

Computed properties:
The total DFT energy (no corrections) is -0.3310 Ry per atom. For the spin magnetization, the calculation gives 0.00 μB/cell. As for the crystal system: monoclinic.

a b c (Å): 6.8009 3.6552 6.3318
angles (deg): 90.00 90.22 90.00
Fractional coordinates of all 6 atoms:
Al 0.7013 0.0000 0.7082
S 0.8445 0.0000 0.3755
Cl 0.3940 0.5000 0.2067
S 0.8445 0.5000 0.8755
Al 0.7013 0.5000 0.2082
Cl 0.3940 0.0000 0.7067

=====

## BeCu2GeRu (PBE-GGA)

Data for crystalline BeCu2GeRu at its relaxed geometry.

Computed properties:
The total DFT energy (no corrections) is -0.3049 Ry per atom. For the spin magnetization, the calculation gives 0.20 μB/cell. The calculation puts the formation energy from the elements at 1014.2 meV/atom. As for the crystal system: tetragonal.

a b c (Å): 4.3379 4.5833 4.3379
angles (deg): 90.00 90.00 90.00
Fractional coordinates of all 5 atoms:
Cu 0.5000 0.0000 0.0000
Ru 0.0000 0.5000 0.0000
Cu 0.0000 0.0000 0.5000
Be 0.5000 0.5000 0.5000
Ge 0.0000 0.0000 0.0000

=====

## Cd2Cl (PBE-GGA)

Data for crystalline Cd2Cl at its relaxed geometry.

Computed properties:
The total DFT energy (no corrections) is -0.1194 Ry per atom. For the spin magnetization, the calculation gives 0.00 μB/cell. As for the crystal system: monoclinic.

a b c (Å): 6.3762 6.3762 7.9803
angles (deg): 71.84 71.84 31.99
Fractional coordinates of all 6 atoms:
Cd 0.3087 0.3087 0.3459
Cd 0.3087 0.3087 0.8459
Cd 0.6913 0.6913 0.1541
Cl 0.0000 0.0000 0.7499
Cd 0.6913 0.6913 0.6541
Cl 0.0000 0.0000 0.2501

=====

## CsO3 (PBE-GGA)

Data for crystalline CsO3 at its relaxed geometry.

Computed properties:
The total DFT energy (no corrections) is -0.3363 Ry per atom. For the spin magnetization, the calculation gives 4.00 μB/cell. As for the crystal system: monoclinic.

a b c (Å): 6.4842 6.9424 9.3565
angles (deg): 57.15 90.00 90.00
Fractional coordinates of all 16 atoms:
O 0.7930 0.7229 0.3927
Cs 0.2584 0.7688 0.5863
O 0.2492 0.3104 0.4516
Cs 0.2416 0.7688 0.0863
O 0.9301 0.8965 0.2975
O 0.4301 0.1035 0.2025
Cs 0.7584 0.2312 0.9137
O 0.5699 0.8965 0.7975
O 0.7508 0.6896 0.5484
O 0.7492 0.6896 0.0484
O 0.2930 0.2771 0.1073
O 0.2070 0.2771 0.6073
O 0.7070 0.7229 0.8927
Cs 0.7416 0.2312 0.4137
O 0.2508 0.3104 0.9516
O 0.0699 0.1035 0.7025

=====

## Na2H3Pt (PBE-GGA)

Data for crystalline Na2H3Pt at its relaxed geometry.

Computed properties:
The total DFT energy (no corrections) is -0.2537 Ry per atom. For the spin magnetization, the calculation gives 0.00 μB/cell. As for the crystal system: orthorhombic.

a b c (Å): 3.7132 3.7174 6.0829
angles (deg): 107.79 107.77 90.00
Fractional coordinates of all 6 atoms:
H 0.1528 0.1528 0.3057
H 0.0000 0.5000 0.0000
H 0.8472 0.8472 0.6943
Na 0.6372 0.6372 0.2745
Na 0.3628 0.3628 0.7255
Pt 0.0000 0.0000 0.0000

=====

## Ti7Sb2H2 (PBE-GGA)

Data for crystalline Ti7Sb2H2 at its relaxed geometry.

Computed properties:
The total DFT energy (no corrections) is -0.4879 Ry per atom. For the spin magnetization, the calculation gives 0.00 μB/cell. As for the crystal system: monoclinic.

a b c (Å): 5.6199 5.5672 5.5672
angles (deg): 101.10 94.75 94.75
Fractional coordinates of all 11 atoms:
H 0.4867 0.7402 0.7402
Ti 0.8488 0.3336 0.3336
Ti 0.6590 0.8364 0.5031
Sb 0.0000 0.1802 0.8198
Sb 0.0000 0.8198 0.1802
Ti 0.1512 0.6664 0.6664
H 0.5133 0.2598 0.2598
Ti 0.3410 0.1636 0.4969
Ti 0.6590 0.5031 0.8364
Ti 0.3410 0.4969 0.1636
Ti 0.5000 0.0000 0.0000

=====

- What is the spin magnetization in the first record?
  0.00 μB/cell

=====

- total DFT energy (no corrections) of number 6 (CsO3)?
  -0.3363 Ry per atom